4
Lattice="3.4385 0.0000 0.0000 0.0000 3.4385 0.0000 0.0000 0.0000 8.3208" Properties=species:S:1:pos:R:3 comment="YCoPb2 (PBE, relaxed)" e_above_lowest_polymorph_mev_per_atom=29 final_energy_ev_per_fu=-20.90 n_ef_per_ev_fu=3.14 mass_density_g_cm3=9.490 spacegroup="P4mm, No. 99" delta_e_f_ev_per_atom=0.022 pbc="T T T"
Y 0.0000 0.0000 0.0000
Co 1.7192 1.7192 1.5374
Pb 0.0000 0.0000 3.2238
Pb 1.7192 1.7192 5.8558